# 1
La2MgAl4Pd3 PBE relaxed; N(E_F) = 7.3 states/eV per cell; formation enthalpy at 0 K = -710 meV per atom; density = 5.832 g/cm3
1.0
4.323 0.000 0.000
0.000 4.323 0.000
0.000 0.000 11.110
La Mg Al Pd
2 1 4 3
Direct
0.500 0.000 0.236
0.000 0.500 0.764
0.500 0.500 0.500
0.500 0.500 0.000
0.000 0.000 0.000
0.500 0.000 0.647
0.000 0.500 0.353
0.000 0.000 0.500
0.500 0.000 0.875
0.000 0.500 0.125



# 2
LaMgAl2Pd PBE relaxed; N(E_F) = 3.2 states/eV per cell; formation enthalpy at 0 K = -424 meV per atom; density = 4.706 g/cm3
1.0
-4.064 2.589 -0.105
-0.891 -1.579 -4.465
-2.482 -3.820 1.847
Mg Al Pd La
1 2 1 1
Direct
0.000 0.000 0.500
0.000 0.500 0.000
0.500 0.000 0.000
0.000 0.000 0.000
0.500 0.500 0.500



# 3
LaMgAlPd2 PBE relaxed; N(E_F) = 3.0 states/eV per cell; polymorph energy (0 for the lowest one) = 0.0 meV/atom; formation enthalpy at 0 K = -742 meV per atom; density = 6.414 g/cm3
1.0
4.233 0.000 0.000
0.000 4.233 0.000
-2.116 -2.116 5.824
La Mg Al Pd
1 1 1 2
Direct
0.000 0.000 0.000
0.250 0.750 0.500
0.750 0.250 0.500
0.618 0.618 0.236
0.382 0.382 0.764



# 4
LaMgAl2Pd5 PBE relaxed; N(E_F) = 1.8 states/eV per cell; formation enthalpy at 0 K = -663 meV per atom; density = 7.466 g/cm3
1.0
4.217 0.000 0.000
0.000 4.217 0.000
0.000 0.000 9.370
La Mg Al Pd
1 1 2 5
Direct
0.000 0.000 0.500
0.000 0.000 0.000
0.500 0.500 0.135
0.500 0.500 0.865
0.000 0.500 0.267
0.500 0.000 0.267
0.000 0.500 0.733
0.500 0.000 0.733
0.500 0.500 0.500



# 5
La3MgAl2Pd9 PBE relaxed; N(E_F) = 3.6 states/eV per cell; formation enthalpy at 0 K = -670 meV per atom; density = 7.256 g/cm3
1.0
5.817 0.000 0.000
-2.909 5.038 0.000
0.000 0.000 11.345
La Mg Al Pd
3 1 2 9
Direct
0.333 0.667 0.715
0.000 0.000 0.000
0.667 0.333 0.285
0.000 0.000 0.500
0.333 0.667 0.162
0.667 0.333 0.838
0.838 0.162 0.687
0.838 0.676 0.687
0.324 0.162 0.687
0.676 0.838 0.313
0.162 0.324 0.313
0.162 0.838 0.313
0.500 0.000 0.000
0.000 0.500 0.000
0.500 0.500 0.000



# 6
LaMg2AlPd2 PBE relaxed; N(E_F) = 3.9 states/eV per cell; formation enthalpy at 0 K = -451 meV per atom; density = 5.172 g/cm3
1.0
4.723 0.000 0.000
0.000 4.723 0.000
0.000 0.000 6.150
La Mg Al Pd
1 2 1 2
Direct
0.000 0.000 0.500
0.500 0.500 0.756
0.500 0.500 0.244
0.000 0.000 0.000
0.500 0.000 0.000
0.000 0.500 0.000



# 7
LaPm2Mg2Al2 PBE relaxed; N(E_F) = 4.7 states/eV per cell; formation enthalpy at 0 K = -189 meV per atom; density = 4.657 g/cm3
1.0
4.951 0.000 0.000
2.476 4.288 0.000
2.476 1.429 8.925
La Pm Mg Al
1 2 2 2
Direct
0.000 0.000 0.000
0.130 0.130 0.609
0.870 0.870 0.391
0.597 0.597 0.209
0.403 0.403 0.791
0.739 0.739 0.783
0.261 0.261 0.217



# 8
LaPrMgAl PBE relaxed; N(E_F) = 3.4 states/eV per cell; formation enthalpy at 0 K = -249 meV per atom; density = 4.839 g/cm3
1.0
5.436 0.000 0.000
2.718 4.708 0.000
2.718 1.569 4.439
Pr Mg Al La
1 1 1 1
Direct
0.250 0.250 0.250
0.000 0.000 0.000
0.500 0.500 0.500
0.750 0.750 0.750



# 9
La2MgAl3Pt4 PBE relaxed; N(E_F) = 7.5 states/eV per cell; formation enthalpy at 0 K = -1065 meV per atom; density = 9.596 g/cm3
1.0
-1.407 4.075 -0.629
-0.228 -0.740 -4.287
-10.023 -3.290 1.101
La Mg Al Pt
2 1 3 4
Direct
0.500 0.000 0.244
0.000 0.500 0.756
0.500 0.500 0.500
0.000 0.000 0.500
0.500 0.000 0.879
0.000 0.500 0.121
0.500 0.500 0.000
0.000 0.000 0.000
0.500 0.000 0.641
0.000 0.500 0.359



# 10
LaMgAl2Pt4 PBE relaxed; N(E_F) = 3.2 states/eV per cell; formation enthalpy at 0 K = -1033 meV per atom; density = 11.404 g/cm3
1.0
4.321 0.000 0.000
2.160 3.742 0.000
2.160 1.247 8.983
La Mg Al Pt
1 1 2 4
Direct
0.000 0.000 0.000
0.500 0.500 0.500
0.764 0.764 0.708
0.236 0.236 0.292
0.403 0.403 0.790
0.867 0.867 0.398
0.133 0.133 0.602
0.597 0.597 0.210



# 11
La2MgAl2Pt5 PBE relaxed; N(E_F) = 8.8 states/eV per cell; formation enthalpy at 0 K = -931 meV per atom; density = 11.507 g/cm3
1.0
3.426 0.000 0.000
0.000 10.592 0.000
0.000 0.000 10.592
La Mg Al Pt
4 2 4 10
Direct
0.000 0.677 0.177
0.000 0.323 0.823
0.000 0.177 0.323
0.000 0.823 0.677
0.000 0.000 0.000
0.000 0.500 0.500
0.000 0.124 0.624
0.000 0.876 0.376
0.000 0.624 0.876
0.000 0.376 0.124
0.500 0.207 0.059
0.500 0.793 0.941
0.500 0.059 0.793
0.500 0.707 0.441
0.500 0.941 0.207
0.500 0.293 0.559
0.500 0.559 0.707
0.500 0.441 0.293
0.500 0.500 0.000
0.500 0.000 0.500



# 12
LaMgAlPt2 PBE relaxed; N(E_F) = 3.1 states/eV per cell; formation enthalpy at 0 K = -1012 meV per atom; density = 9.353 g/cm3
1.0
-3.444 -1.181 1.982
-0.829 -2.690 -3.043
5.252 -2.295 3.422
La Mg Al Pt
1 1 1 2
Direct
0.000 0.000 0.000
0.250 0.750 0.500
0.750 0.250 0.500
0.616 0.616 0.232
0.384 0.384 0.768



# 13
LaMgAl2Pt2 PBE relaxed; N(E_F) = 2.9 states/eV per cell; formation enthalpy at 0 K = -975 meV per atom; density = 8.438 g/cm3
1.0
4.424 0.000 0.000
-2.212 3.831 0.000
0.000 0.000 7.051
La Mg Al Pt
1 1 2 2
Direct
0.000 0.000 0.000
0.000 0.000 0.500
0.333 0.667 0.678
0.667 0.333 0.322
0.333 0.667 0.296
0.667 0.333 0.704



# 14
LaPuMgAl PBE relaxed; N(E_F) = 8.4 states/eV per cell; formation enthalpy at 0 K = -52 meV per atom; density = 6.687 g/cm3
1.0
5.342 0.000 0.000
2.671 4.627 0.000
2.671 1.542 4.362
Mg La Al Pu
1 1 1 1
Direct
0.750 0.750 0.750
0.500 0.500 0.500
0.250 0.250 0.250
0.000 0.000 0.000



# 15
LaMgAl2Rh PBE relaxed; N(E_F) = 1.3 states/eV per cell; formation enthalpy at 0 K = -539 meV per atom; density = 4.820 g/cm3
1.0
-1.650 3.825 2.277
-4.403 -1.757 -0.239
0.670 -2.263 4.286
Mg Rh Al La
1 1 2 1
Direct
0.000 0.000 0.500
0.000 0.000 0.000
0.000 0.500 0.000
0.500 0.000 0.000
0.500 0.500 0.500



# 16
La2MgAlRh PBE relaxed; N(E_F) = 6.1 states/eV per cell; formation enthalpy at 0 K = -372 meV per atom; density = 4.808 g/cm3
1.0
5.546 0.000 0.000
0.000 5.546 0.000
0.000 0.000 4.851
Mg Rh Al La
1 1 1 2
Direct
0.500 0.500 0.500
0.000 0.000 0.000
0.000 0.000 0.500
0.000 0.500 0.000
0.500 0.000 0.000



# 17
LaMgAl2Ru PBE relaxed; N(E_F) = 2.2 states/eV per cell; polymorph energy (0 for the lowest one) = 0.0 meV/atom; formation enthalpy at 0 K = -391 meV per atom; density = 4.764 g/cm3
1.0
4.750 0.000 0.000
0.000 4.750 0.000
0.000 0.000 4.917
Ru Mg Al La
1 1 2 1
Direct
0.000 0.000 0.000
0.000 0.000 0.500
0.000 0.500 0.000
0.500 0.000 0.000
0.500 0.500 0.500



# 18
La2MgAlRu PBE relaxed; N(E_F) = 4.6 states/eV per cell; formation enthalpy at 0 K = -222 meV per atom; density = 4.849 g/cm3
1.0
5.460 0.000 0.000
0.000 5.460 0.000
0.000 0.000 4.940
Ru Mg Al La
1 1 1 2
Direct
0.000 0.000 0.000
0.500 0.500 0.500
0.000 0.000 0.500
0.000 0.500 0.000
0.500 0.000 0.000



# 19
LaMgAl2Ru PBE relaxed; N(E_F) = 11.5 states/eV per cell; polymorph energy (0 for the lowest one) = 2441.0 meV/atom; formation enthalpy at 0 K = 2050 meV per atom; density = 3.291 g/cm3
1.0
5.369 0.000 0.000
0.000 5.570 0.000
0.000 0.000 5.369
Ru Mg Al La
1 1 2 1
Direct
0.500 0.500 0.500
0.000 0.500 0.000
0.000 0.000 0.500
0.500 0.000 0.000
0.000 0.000 0.000



# 20
LaMgScAl2 PBE relaxed; N(E_F) = 3.4 states/eV per cell; formation enthalpy at 0 K = 308 meV per atom; density = 3.117 g/cm3
1.0
-2.850 2.444 -3.551
-4.334 -2.101 2.033
-0.477 4.052 3.172
Sc Mg Al La
1 1 2 1
Direct
0.000 0.000 0.000
0.000 0.500 0.000
0.000 0.000 0.500
0.500 0.000 0.000
0.500 0.500 0.500